# GeWS3 | Alexandria via LeMat-Bulk | PBE | optimized geometry
# V ... 96.5 Å³ per cell
# Density ... 6.068 g/cm3
# Energy relative to the elements, uncorrected ... 5.647 eV/f.u.
data_GeWS3
_cell_length_a 4.587
_cell_length_b 4.587
_cell_length_c 4.587
_cell_angle_alpha 90.00
_cell_angle_beta 90.00
_cell_angle_gamma 90.00
_symmetry_space_group_name_H-M 'P m -3 m'
_symmetry_Int_Tables_number 221
_symmetry_space_group_name_Hall '-P 4 2 3'
loop_
_atom_site_label
_atom_site_type_symbol
_atom_site_fract_x
_atom_site_fract_y
_atom_site_fract_z
Ge1 Ge 0.000 0.000 0.000
W1 W 0.500 0.500 0.500
S1 S 0.000 0.000 0.500

***

# ZrCu2Si | Alexandria via LeMat-Bulk | PBE | optimized geometry
# V ... 121.3 Å³ per cell
# Density ... 6.748 g/cm3
# Energy relative to the elements, uncorrected ... -1.050 eV/f.u.
data_ZrCu2Si
_cell_length_a 3.888
_cell_length_b 2.915
_cell_length_c 10.701
_cell_angle_alpha 90.00
_cell_angle_beta 90.00
_cell_angle_gamma 90.00
_symmetry_space_group_name_H-M 'A m m 2'
_symmetry_Int_Tables_number 38
loop_
_symmetry_equiv_pos_as_xyz
'x,y,z'
'-x,-y,z'
'-x,y,z'
'x,-y,z'
'x,y+1/2,z+1/2'
'-x,-y+1/2,z+1/2'
'-x,y+1/2,z+1/2'
'x,-y+1/2,z+1/2'
loop_
_atom_site_label
_atom_site_type_symbol
_atom_site_fract_x
_atom_site_fract_y
_atom_site_fract_z
Zr1 Zr 0.000 0.000 0.000
Cu1 Cu 0.000 0.000 0.255
Cu2 Cu 0.500 0.000 0.669
Si1 Si 0.500 0.000 0.378